Density functional theory data (PBE) for a geometry-optimized AsCSCl2 structure.

POSCAR file:
```
AsCSCl2
1.0
4.8734 0.0000 0.0000
0.0000 4.8734 0.0000
0.0000 0.0000 4.9640
As C S Cl
1 1 1 2
direct
0.0000 0.0000 0.0000
0.5000 0.5000 0.5000
0.0000 0.0000 0.5000
0.0000 0.5000 0.0000
0.5000 0.0000 0.0000
```

Results
The spin magnetization is 1.11 μB per cell. The calculation puts the density of states at the Fermi level at 0.68 states/eV per atom. The value obtained for the uncorrected formation energy is 1.44 eV/atom. The space-group type is P4/mmm, No. 123.

=====

Density functional theory data (PBE) for a geometry-optimized As2CSCl structure.

POSCAR file:
```
As2CSCl
1.0
4.9193 0.0000 0.0000
0.0000 4.9193 0.0000
0.0000 0.0000 4.6014
As C S Cl
2 1 1 1
direct
0.0000 0.5000 0.0000
0.5000 0.0000 0.0000
0.0000 0.0000 0.5000
0.5000 0.5000 0.0000
0.5000 0.5000 0.5000
```

Results
The spin magnetization is 0.18 μB per cell. The calculation puts the density of states at the Fermi level at 0.92 states/eV per atom. The value obtained for the uncorrected formation energy is 1.93 eV/atom. The space-group type is P4/mmm, No. 123.

=====

Density functional theory data (PBE) for a geometry-optimized AsCSe2Cl structure.

POSCAR file:
```
AsCSe2Cl
1.0
5.0466 0.0000 0.0000
0.0000 5.0466 0.0000
0.0000 0.0000 4.9216
As C Se Cl
1 1 2 1
direct
0.0000 0.0000 0.0000
0.5000 0.5000 0.0000
0.0000 0.5000 0.5000
0.5000 0.0000 0.5000
0.0000 0.0000 0.5000
```

Results
The spin magnetization is 1.05 μB per cell. The calculation puts the density of states at the Fermi level at 0.84 states/eV per atom. The value obtained for the uncorrected formation energy is 2.32 eV/atom. The space-group type is P4/mmm, No. 123.

=====

Density functional theory data (PBE) for a geometry-optimized AsCSe2Cl structure.

POSCAR file:
```
AsCSe2Cl
1.0
4.3410 0.0000 0.0000
0.0000 4.3410 0.0000
0.0000 0.0000 4.8638
As C Se Cl
1 1 2 1
direct
0.0000 0.0000 0.0000
0.0000 0.0000 0.5000
0.0000 0.5000 0.5000
0.5000 0.0000 0.5000
0.5000 0.5000 0.0000
```

Results
The spin magnetization is 0.00 μB per cell. The calculation puts the density of states at the Fermi level at 0.61 states/eV per atom. The value obtained for the uncorrected formation energy is 1.14 eV/atom. The space-group type is P4/mmm, No. 123.

=====

Density functional theory data (PBE) for a geometry-optimized SrAsC2Cl structure.

POSCAR file:
```
SrAsC2Cl
1.0
4.4504 0.0000 0.0000
0.0000 4.4504 0.0000
0.0000 0.0000 5.3379
Sr As C Cl
1 1 2 1
direct
0.0000 0.0000 0.0000
0.5000 0.5000 0.0000
0.0000 0.5000 0.5000
0.5000 0.0000 0.5000
0.0000 0.0000 0.5000
```

Results
The spin magnetization is 1.33 μB per cell. The calculation puts the density of states at the Fermi level at 0.56 states/eV per atom. The value obtained for the uncorrected formation energy is 2.00 eV/atom. The space-group type is P4/mmm, No. 123.

=====

Density functional theory data (PBE) for a geometry-optimized TcAsC2Cl structure.

POSCAR file:
```
TcAsC2Cl
1.0
3.9802 0.0000 0.0000
0.0000 3.9802 0.0000
0.0000 0.0000 4.5390
Tc As C Cl
1 1 2 1
direct
0.0000 0.0000 0.0000
0.5000 0.5000 0.0000
0.0000 0.5000 0.5000
0.5000 0.0000 0.5000
0.0000 0.0000 0.5000
```

Results
The spin magnetization is 0.32 μB per cell. The calculation puts the density of states at the Fermi level at 0.84 states/eV per atom. The value obtained for the uncorrected formation energy is 2.83 eV/atom. The space-group type is P4/mmm, No. 123.

=====

Density functional theory data (PBE) for a geometry-optimized ZnAsC2Cl structure.

POSCAR file:
```
ZnAsC2Cl
1.0
4.0622 0.0000 0.0000
0.0000 4.0622 0.0000
0.0000 0.0000 4.8053
Zn As C Cl
1 1 2 1
direct
0.0000 0.0000 0.0000
0.5000 0.5000 0.0000
0.0000 0.5000 0.5000
0.5000 0.0000 0.5000
0.5000 0.5000 0.5000
```

Results
The spin magnetization is 0.42 μB per cell. The calculation puts the density of states at the Fermi level at 0.70 states/eV per atom. The value obtained for the uncorrected formation energy is 2.70 eV/atom. The space-group type is P4/mmm, No. 123.

=====

Density functional theory data (PBE) for a geometry-optimized Co2AsC structure.

POSCAR file:
```
Co2AsC
1.0
-2.3357 2.3357 4.7863
2.3357 -2.3357 4.7863
2.3357 2.3357 -4.7863
Co As C
4 2 2
direct
0.0356 0.6250 0.9106
0.3750 0.2856 0.4106
0.7144 0.1250 0.0894
0.8750 0.9644 0.5894
0.2500 0.7500 0.5000
0.5000 0.5000 0.0000
0.0000 0.0000 0.0000
0.7500 0.2500 0.5000
```

Results
The spin magnetization is 0.00 μB per cell. For the formation energy, the calculation gives 0.2877 eV/atom. The calculation puts the density of states at the Fermi level at 0.60 states/eV per atom. The space-group type is I-42d, No. 122.

=====

Density functional theory data (PBE) for a geometry-optimized Co3AsC structure.

POSCAR file:
```
Co3AsC
1.0
3.8058 0.0000 0.0000
0.0000 3.8058 0.0000
0.0000 0.0000 3.8058
Co As C
3 1 1
direct
0.0000 0.0000 0.5000
0.0000 0.5000 0.0000
0.5000 0.0000 0.0000
0.5000 0.5000 0.5000
0.0000 0.0000 0.0000
```

Results
The spin magnetization is 2.85 μB per cell. For the formation energy, the calculation gives 0.1654 eV/atom. The calculation puts the density of states at the Fermi level at 0.89 states/eV per atom. The space-group type is Pm-3m, No. 221.

=====

Density functional theory data (PBE) for a geometry-optimized CoAsC3 structure.

POSCAR file:
```
CoAsC3
1.0
3.7889 0.0000 0.0000
0.0000 3.7889 0.0000
0.0000 0.0000 3.7889
Co As C
1 1 3
direct
0.0000 0.0000 0.0000
0.5000 0.5000 0.5000
0.0000 0.0000 0.5000
0.0000 0.5000 0.0000
0.5000 0.0000 0.0000
```

Results
The spin magnetization is 0.00 μB per cell. For the formation energy, the calculation gives 2.1871 eV/atom. The calculation puts the density of states at the Fermi level at 0.34 states/eV per atom. The space-group type is Pm-3m, No. 221.

=====

Density functional theory data (PBE) for a geometry-optimized Co3AsC structure.

POSCAR file:
```
Co3AsC
1.0
4.2947 0.0000 0.0000
0.0000 4.2947 0.0000
0.0000 0.0000 4.2947
Co As C
3 1 1
direct
0.0000 0.0000 0.5000
0.0000 0.5000 0.0000
0.5000 0.0000 0.0000
0.0000 0.0000 0.0000
0.5000 0.5000 0.5000
```

Results
The spin magnetization is 3.30 μB per cell. For the formation energy, the calculation gives 1.9214 eV/atom. The calculation puts the density of states at the Fermi level at 1.52 states/eV per atom. The space-group type is Pm-3m, No. 221.

=====

Density functional theory data (PBE) for a geometry-optimized CoAsC3 structure.

POSCAR file:
```
CoAsC3
1.0
3.8460 0.0000 0.0000
0.0000 3.8460 0.0000
0.0000 0.0000 3.8460
Co As C
1 1 3
direct
0.0000 0.0000 0.0000
0.5000 0.5000 0.5000
0.0000 0.5000 0.5000
0.5000 0.0000 0.5000
0.5000 0.5000 0.0000
```

Results
The spin magnetization is 0.00 μB per cell. For the formation energy, the calculation gives 2.8728 eV/atom. The calculation puts the density of states at the Fermi level at 1.22 states/eV per atom. The space-group type is Pm-3m, No. 221.